This record from Alexandria describes an optimized crystal structure of Li6Cd5Pd. The functional is GGA-PBE.

Lattice parameters (Å, degrees): 4.598 6.568 7.914 114.20 106.67 90.02
Space group P-1 (No. 2)
Inequivalent atoms, fractional coordinates:
Li: 0.001 0.232 0.001 (multiplicity 2)
Li: 0.341 0.601 0.680 (multiplicity 2)
Li: 0.342 0.081 0.682 (multiplicity 2)
Cd: 0.166 0.165 0.334 (multiplicity 2)
Cd: 0.166 0.667 0.332 (multiplicity 2)
Cd: 0.500 0.500 0.000 (multiplicity 1)
Pd: 0.500 0.000 0.000 (multiplicity 1)

This record from Alexandria describes an optimized crystal structure of La2Nd3Ho5. The functional is GGA-PBE.

Lattice parameters (Å, degrees): 10.698 16.667 9.272 90.00 125.21 90.00
Space group C2/c (No. 15)
Inequivalent atoms, fractional coordinates:
La: 0.150 0.127 0.045 (multiplicity 8)
Nd: 0.000 0.022 0.250 (multiplicity 4)
Nd: 0.145 0.373 0.544 (multiplicity 8)
Ho: 0.000 0.222 0.250 (multiplicity 4)
Ho: 0.000 0.277 0.750 (multiplicity 4)
Ho: 0.000 0.476 0.750 (multiplicity 4)
Ho: 0.249 0.366 0.254 (multiplicity 8)

Number 1: E_tot -2.060 eV/atom, magnetic moment 0.0 μB/f.u., energy of formation from the pure elements -0.29 eV per atom. Number 2: E_tot -4.530 eV/atom, magnetic moment 0.0 μB/f.u., energy of formation from the pure elements 0.17 eV per atom.